Record 1
{"formula": "CaInSn", "functional": "PBE", "state": "relaxed", "lattice": [[6.7225, 0.0000, 0.0000], [0.0000, 6.2667, -0.6124], [0.0000, -2.0110, 8.4482]], "species": ["Ca", "Ca", "Ca", "Ca", "In", "In", "In", "In", "Sn", "Sn", "Sn", "Sn"], "frac_coords": [[0.6138, 0.1819, 0.3650], [0.8862, 0.1819, 0.8650], [0.1138, 0.8181, 0.1350], [0.3862, 0.8181, 0.6350], [0.3704, 0.1963, 0.0079], [0.6296, 0.8037, 0.9921], [0.1296, 0.1963, 0.5079], [0.8704, 0.8037, 0.4921], [0.0335, 0.3767, 0.2439], [0.4665, 0.3767, 0.7439], [0.9665, 0.6233, 0.7561], [0.5335, 0.6233, 0.2561]], "delta_e_f_ev_per_atom": -0.390, "mass_density_g_cm3": 5.2, "energy_ev_per_atom": -3.3039}

Record 2
{"formula": "Ca6In2Sn", "functional": "PBE", "state": "relaxed", "lattice": [[-5.2654, 1.1615, -0.2794], [-2.0509, -7.6395, 6.8935], [1.0886, 6.8298, 7.8928]], "species": ["Ca", "Ca", "Ca", "Ca", "Ca", "Ca", "Ca", "Ca", "Ca", "Ca", "Ca", "Ca", "In", "In", "In", "In", "Sn", "Sn"], "frac_coords": [[0.5001, 0.1173, 0.6168], [0.9998, 0.6962, 0.5405], [0.0001, 0.3827, 0.1168], [0.5001, 0.4598, 0.6963], [0.4999, 0.5402, 0.3037], [0.9999, 0.6173, 0.8832], [0.5002, 0.1962, 0.9595], [0.9999, 0.9598, 0.8037], [0.0001, 0.0402, 0.1963], [0.4998, 0.8038, 0.0405], [0.0002, 0.3038, 0.4595], [0.4999, 0.8827, 0.3832], [0.4998, 0.7747, 0.7256], [0.9998, 0.7253, 0.2256], [0.5002, 0.2253, 0.2744], [0.0002, 0.2747, 0.7744], [0.0000, 0.0000, 0.5000], [0.5000, 0.5000, 0.0000]], "delta_e_f_ev_per_atom": -0.388, "mass_density_g_cm3": 3.3, "energy_ev_per_atom": -2.7758}

Record 3
{"formula": "Ca4In2Sn", "functional": "PBE", "state": "relaxed", "lattice": [[-3.7785, -0.7188, -3.8296], [-5.1448, -0.9926, 1.4162], [-4.6414, 8.0953, -0.7863]], "species": ["Ca", "Ca", "Ca", "Ca", "In", "In", "Sn"], "frac_coords": [[0.1256, 0.1256, 0.6231], [0.6230, 0.6230, 0.1309], [0.3770, 0.3770, 0.8691], [0.8744, 0.8744, 0.3769], [0.7497, 0.7497, 0.7510], [0.2503, 0.2503, 0.2490], [0.0000, 0.0000, 0.0000]], "delta_e_f_ev_per_atom": -0.396, "e_above_lowest_polymorph_ev_per_fu": 0.00, "mass_density_g_cm3": 3.8, "energy_ev_per_atom": -2.8938}

Record 4
{"formula": "CaInSn2", "functional": "PBE", "state": "relaxed", "lattice": [[3.6257, 0.0000, 0.0000], [1.8129, 3.1400, 0.0000], [1.8129, 1.0467, 11.0715]], "species": ["Sn", "Sn", "Ca", "In"], "frac_coords": [[0.0953, 0.0953, 0.7140], [0.9047, 0.9047, 0.2860], [0.0000, 0.0000, 0.0000], [0.5000, 0.5000, 0.5000]], "delta_e_f_ev_per_atom": 0.074, "mass_density_g_cm3": 5.2, "energy_ev_per_atom": -3.1120}

- Number 2 is which compound?
  Ca6In2Sn